Compound: PuCdAs2
Source: Alexandria via LeMat-Bulk
Functional: PBE-GGA
Structure: optimized geometry

abc: 4.1949 4.1949 6.7951
angles: 72.02 72.02 60.00
Site moments in Bohr magnetons follow the coordinates.
Atoms (fractional coordinates):
Pu (0.6693, 0.6693, 0.9922)  -4.92
Cd (0.4941, 0.4941, 0.5177)  0.01
As (0.0822, 0.0822, 0.7533)  0.10
As (0.2544, 0.2544, 0.2368)  0.12

Properties
As for the spin magnetization: 4.7 μB/cell. Its distance to the lowest polymorph of the same formula is 86 meV per atom.

***

Compound: RbTe2Br2
Source: Alexandria via LeMat-Bulk
Functional: PBE-GGA
Structure: optimized geometry

abc: 4.3097 4.3097 10.0976
angles: 77.68 77.68 90.00
Atoms (fractional coordinates):
Te (0.7500, 0.2500, 0.5000)
Te (0.2500, 0.7500, 0.5000)
Br (0.4095, 0.4095, 0.1811)
Br (0.5905, 0.5905, 0.8189)
Rb (0.0000, 0.0000, 0.0000)

Properties
As for the spin magnetization: 0.0 μB/cell. Its distance to the lowest polymorph of the same formula is 0 meV per atom. As for the uncorrected formation energy: -2.6 eV per formula unit.

***

Compound: CrTc2Rh
Source: Alexandria via LeMat-Bulk
Functional: PBE-GGA
Structure: optimized geometry

abc: 4.6780 4.6780 4.6686
angles: 80.32 80.32 33.50
Site moments in Bohr magnetons follow the coordinates.
Atoms (fractional coordinates):
Cr (0.7500, 0.7500, 0.7500)  0.70
Rh (0.2500, 0.2500, 0.2500)  -0.01
Tc (0.0005, 0.0005, 0.9947)  -0.06
Tc (0.4995, 0.4995, 0.5053)  -0.06

Properties
As for the spin magnetization: 0.6 μB/cell. Its distance to the lowest polymorph of the same formula is 46 meV per atom.

***

Compound: BaLi6Ag6
Source: Alexandria via LeMat-Bulk
Functional: PBE-GGA
Structure: optimized geometry

abc: 5.6972 7.3569 7.3569
angles: 78.62 67.22 67.22
Atoms (fractional coordinates):
Ba (0.0000, 0.0000, 0.0000)
Li (0.3607, 0.6393, 0.6393)
Li (0.6393, 0.3607, 0.3607)
Li (0.0000, 0.3530, 0.6470)
Li (0.0000, 0.6470, 0.3530)
Li (0.2841, 0.2159, 0.2159)
Li (0.7159, 0.7841, 0.7841)
Ag (0.0000, 0.5000, 0.0000)
Ag (0.5000, 0.5000, 0.0000)
Ag (0.0000, 0.0000, 0.5000)
Ag (0.5000, 0.0000, 0.5000)
Ag (0.5000, 0.7653, 0.2347)
Ag (0.5000, 0.2347, 0.7653)

Properties
The electronic total energy comes out at -32.747 eV per cell. As for the spin magnetization: 0.0 μB/cell.

***

Compound: NpHgPdO6
Source: Alexandria via LeMat-Bulk
Functional: PBE-GGA
Structure: optimized geometry

abc: 5.3724 5.3724 10.2014
angles: 90.00 90.00 120.00
Site moments in Bohr magnetons follow the coordinates.
Atoms (fractional coordinates):
Np (0.6667, 0.3333, 0.2500)  1.24
Np (0.3333, 0.6667, 0.7500)  1.24
Hg (0.0000, 0.0000, 0.0000)  -0.01
Hg (0.0000, 0.0000, 0.5000)  -0.01
Pd (0.3333, 0.6667, 0.2500)  0.01
Pd (0.6667, 0.3333, 0.7500)  0.01
O (0.6411, 0.6460, 0.1401)  -0.04
O (0.0049, 0.3589, 0.1401)  -0.04
O (0.3589, 0.0049, 0.6401)  -0.04
O (0.9951, 0.6411, 0.8599)  -0.04
O (0.3540, 0.3589, 0.3599)  -0.04
O (0.0049, 0.6460, 0.3599)  -0.04
O (0.6460, 0.0049, 0.8599)  -0.04
O (0.6411, 0.9951, 0.3599)  -0.04
O (0.9951, 0.3540, 0.6401)  -0.04
O (0.3540, 0.9951, 0.1401)  -0.04
O (0.6460, 0.6411, 0.6401)  -0.04
O (0.3589, 0.3540, 0.8599)  -0.04

Properties
As for the spin magnetization: 2.1 μB/cell. As for the uncorrected formation energy: -12.0 eV per formula unit.

***

Compound: DyPaVN4
Source: Alexandria via LeMat-Bulk
Functional: PBE-GGA
Structure: optimized geometry

abc: 5.6095 5.6104 6.5609
angles: 90.00 108.88 90.00
Site moments in Bohr magnetons follow the coordinates.
Atoms (fractional coordinates):
Dy (0.8214, 0.7500, 0.4660)  0.06
Dy (0.1786, 0.2500, 0.5340)  0.06
Pa (0.7372, 0.7500, 0.9367)  0.40
Pa (0.2628, 0.2500, 0.0633)  0.40
V (0.2745, 0.7500, 0.3125)  0.23
V (0.7255, 0.2500, 0.6875)  0.23
N (0.9591, 0.4912, 0.7613)  -0.01
N (0.0409, 0.9912, 0.2387)  -0.01
N (0.0409, 0.5088, 0.2387)  -0.01
N (0.9591, 0.0088, 0.7613)  -0.01
N (0.4733, 0.7500, 0.1392)  -0.03
N (0.5267, 0.2500, 0.8608)  -0.03
N (0.4602, 0.7500, 0.5962)  -0.02
N (0.5398, 0.2500, 0.4038)  -0.02

Properties
As for the spin magnetization: 1.4 μB/cell. As for the uncorrected formation energy: -8.8 eV per formula unit.